Tl12Sb3As5, optimized geometry, DFT PBE-GGA; total DFT energy (no corrections) = -244.870 eV for the cell shown; DOS(E_F) = 10.38 states/eV/f.u.
1.0
-8.8045 8.8045 8.8045
8.8045 -8.8045 8.8045
8.8045 8.8045 -8.8045
Tl Sb As
48 12 20
Direct
0.0476 0.2203 0.1314
0.0476 0.3273 0.9161
0.0839 0.6314 0.4111
0.0839 0.9524 0.6727
0.0889 0.7203 0.6727
0.0889 0.8686 0.4161
0.1314 0.0476 0.2203
0.1314 0.5839 0.9111
0.1727 0.2203 0.5889
0.1727 0.4524 0.5839
0.2203 0.1314 0.0476
0.2203 0.5889 0.1727
0.2797 0.3273 0.9111
0.2797 0.4524 0.3686
0.3273 0.9111 0.2797
0.3273 0.9161 0.0476
0.3686 0.2797 0.4524
0.3686 0.5889 0.9161
0.4111 0.0839 0.6314
0.4111 0.8273 0.7797
0.4161 0.0889 0.8686
0.4161 0.8273 0.5476
0.4524 0.3686 0.2797
0.4524 0.5839 0.1727
0.5476 0.4161 0.8273
0.5476 0.6314 0.7203
0.5839 0.1727 0.4524
0.5839 0.9111 0.1314
0.5889 0.1727 0.2203
0.5889 0.9161 0.3686
0.6314 0.4111 0.0839
0.6314 0.7203 0.5476
0.6727 0.0839 0.9524
0.6727 0.0889 0.7203
0.7203 0.5476 0.6314
0.7203 0.6727 0.0889
0.7797 0.4111 0.8273
0.7797 0.8686 0.9524
0.8273 0.5476 0.4161
0.8273 0.7797 0.4111
0.8686 0.4161 0.0889
0.8686 0.9524 0.7797
0.9111 0.1314 0.5839
0.9111 0.2797 0.3273
0.9161 0.0476 0.3273
0.9161 0.3686 0.5889
0.9524 0.6727 0.0839
0.9524 0.7797 0.8686
0.1250 0.2500 0.3750
0.1250 0.3750 0.7500
0.2500 0.3750 0.1250
0.2500 0.8750 0.6250
0.3750 0.1250 0.2500
0.3750 0.7500 0.1250
0.6250 0.2500 0.8750
0.6250 0.8750 0.7500
0.7500 0.1250 0.3750
0.7500 0.6250 0.8750
0.8750 0.6250 0.2500
0.8750 0.7500 0.6250
0.0000 0.0000 0.0000
0.0000 0.0000 0.5000
0.0000 0.5000 0.0000
0.0000 0.5000 0.5000
0.1250 0.7500 0.8750
0.1250 0.8750 0.2500
0.2500 0.1250 0.8750
0.2500 0.6250 0.3750
0.3750 0.2500 0.6250
0.3750 0.6250 0.7500
0.5000 0.0000 0.0000
0.5000 0.0000 0.5000
0.5000 0.5000 0.0000
0.5000 0.5000 0.5000
0.6250 0.3750 0.2500
0.6250 0.7500 0.3750
0.7500 0.3750 0.6250
0.7500 0.8750 0.1250
0.8750 0.1250 0.7500
0.8750 0.2500 0.1250